The following is a DFT calculation (PBE) of a relaxed structure of TlHPd3.

Structure (POSCAR):
```
TlHPd3
1.0
-2.711 2.711 5.203
2.711 -2.711 5.203
2.711 2.711 -5.203
Tl H Pd
2 2 6
direct
0.147 0.147 0.000
0.853 0.853 0.000
0.500 0.500 0.000
0.750 0.250 0.500
0.118 0.618 0.500
0.129 0.381 0.748
0.382 0.882 0.500
0.619 0.367 0.748
0.619 0.871 0.252
0.633 0.381 0.252
```

The value obtained for the volume is 153.0 Å³ per cell. For the electronic total energy, the calculation gives -21.40 eV/f.u.